# MnNi2Bi2 | the Alexandria database | PBE | relaxed
# E	-54.89	eV per cell
# energy of formation from the pure elements	210.2	meV/atom
# Fermi-level density of states	2.8	states/eV/f.u.
# magnetic moment	8.36	Bohr magnetons per cell
data_MnNi2Bi2
_space_group_name_H-M_alt 'P 4/m b m'
_space_group_IT_number 127
_space_group_name_Hall '-P 4 2ab'
_cell_length_a 6.9055
_cell_length_b 6.9055
_cell_length_c 3.8891
_cell_angle_alpha 90.00
_cell_angle_beta 90.00
_cell_angle_gamma 90.00
loop_
_atom_site_label
_atom_site_type_symbol
_atom_site_fract_x
_atom_site_fract_y
_atom_site_fract_z
Mn1 Mn 0.0000 0.0000 0.0000
Ni1 Ni 0.1281 0.3719 0.0000
Bi1 Bi 0.1753 0.6753 0.5000